# Li2NpTe6Pb3 | Alexandria via LeMat-Bulk | GGA-PBE | relaxed
# - Uncorrected energy: -4.478 eV/atom
data_Li2NpTe6Pb3
_cell_length_a 7.727
_cell_length_b 13.364
_cell_length_c 7.856
_cell_angle_alpha 90.00
_cell_angle_beta 108.93
_cell_angle_gamma 90.00
_space_group_name_H-M_alt 'C 1 2/m 1'
_space_group_IT_number 12
loop_
_space_group_symop_operation_xyz
'x,y,z'
'-x,-y,-z'
'-x,y,-z'
'x,-y,z'
'x+1/2,y+1/2,z'
'-x+1/2,-y+1/2,-z'
'-x+1/2,y+1/2,-z'
'x+1/2,-y+1/2,z'
loop_
_atom_site_label
_atom_site_type_symbol
_atom_site_fract_x
_atom_site_fract_y
_atom_site_fract_z
Li1 Li 0.000 0.173 0.000
Np1 Np 0.000 0.500 0.000
Te1 Te 0.242 0.336 0.226
Te2 Te 0.247 0.000 0.233
Pb1 Pb 0.000 0.000 0.500
Pb2 Pb 0.000 0.338 0.500